## ReIrPt (PBE)

Data for a relaxed ReIrPt crystal.

abc: 2.760 3.895 8.319
angles: 90.00 90.00 90.00
Space group Imm2 (No. 44)
Symmetry-distinct sites (fractional):
Re1 0.000 0.000 0.000 (multiplicity 2)
Ir1 0.000 0.000 0.652 (multiplicity 2)
Pt1 0.000 0.000 0.328 (multiplicity 2)

Values from the calculation:
Fermi-level density of states	0.61	states/eV per atom
uncorrected energy	-9.269	eV per atom
volume	14.90	Å³/atom
ρ	21.30	g/cm³